Record 1
# KSrCd2

KSrCd2 after structural relaxation (PBEsol, Alexandria).

Values from the calculation:
The space group is Cmmm, No. 65. As for the electronic total energy: -5.67 eV/cell. The value obtained for the formation enthalpy at 0 K is -0.08 eV per atom.

Unit cell a=3.9142 b=5.7912 c=5.7912 alpha=90.16 beta=90.00 gamma=90.00
With the nearest neighbours (Å) after each atom.
Element x y z (fractional)
Cd 0.0000 0.5000 0.0000  4 Sr 3.49, 4 K 3.49, 2 Cd 3.91
K 0.5000 0.0000 0.0000  8 Cd 3.49, 2 K 3.91
Sr 0.5000 0.5000 0.5000  8 Cd 3.49, 2 Sr 3.91
Cd 0.0000 0.0000 0.5000  4 K 3.49, 4 Sr 3.49, 2 Cd 3.91


Record 2
# KSr2Cd

KSr2Cd after structural relaxation (PBEsol, Alexandria).

Values from the calculation:
The space group is P4mm, No. 99. As for the electronic total energy: -6.10 eV/cell. The value obtained for the formation enthalpy at 0 K is -0.02 eV per atom.

Unit cell a=4.1358 b=4.1358 c=10.4620 alpha=90.00 beta=90.00 gamma=90.00
With the nearest neighbours (Å) after each atom.
Element x y z (fractional)
Sr 0.5000 0.5000 0.3111  4 Cd 3.37
Cd 0.0000 0.0000 0.4709  4 Sr 3.37, 4 K 3.73
K 0.5000 0.5000 0.6926  4 Cd 3.73, 1 Sr 3.99, 4 K 4.14
Sr 0.0000 0.0000 0.0253  8 Sr 4.14-4.18, 4 K 4.55


Record 3
# K2CdTc

K2CdTc after structural relaxation (PBEsol, Alexandria).

Values from the calculation:
The space group is Cm, No. 8. As for the electronic total energy: -11.14 eV/cell. The value obtained for the formation enthalpy at 0 K is 0.90 eV per atom.

Unit cell a=2.8161 b=4.9861 c=9.4436 alpha=91.83 beta=90.00 gamma=106.40
With the nearest neighbours (Å) after each atom.
Element x y z (fractional)
Cd 0.2447 0.4894 0.6704  3 Tc 2.69-2.77, 2 Cd 2.82
K 0.7559 0.5118 0.3357  2 K 2.82
Tc 0.5085 0.0171 0.5815  3 Cd 2.69-2.77, 2 Tc 2.82
K 0.9908 0.9817 0.9123  2 K 2.82


Record 4
# K2CdTc

K2CdTc after structural relaxation (PBEsol, Alexandria).

Values from the calculation:
The space group is Immm, No. 71. As for the electronic total energy: -10.26 eV/cell. The value obtained for the formation enthalpy at 0 K is 1.12 eV per atom.

Unit cell a=3.5128 b=4.8490 c=6.4493 alpha=112.08 beta=105.80 gamma=90.00
With the nearest neighbours (Å) after each atom.
Element x y z (fractional)
Tc 0.5000 0.0000 0.0000  4 Cd 2.99, 4 K 3.30
K 0.2441 0.2441 0.4883  4 K 3.00, 2 Tc 3.30
Cd 0.0000 0.5000 0.0000  4 Tc 2.99
K 0.7559 0.7559 0.5117  4 K 3.00, 2 Tc 3.30


Record 5
# KCdTc

KCdTc after structural relaxation (PBEsol, Alexandria).

Values from the calculation:
The space group is I4mm, No. 107. As for the electronic total energy: -10.98 eV/cell. The value obtained for the formation enthalpy at 0 K is 0.87 eV per atom.

Unit cell a=2.7466 b=2.7466 c=8.3324 alpha=99.49 beta=99.49 gamma=90.00
With the nearest neighbours (Å) after each atom.
Element x y z (fractional)
K 0.6729 0.6729 0.3457  4 K 2.75
Cd 0.9818 0.9818 0.9636  4 Cd 2.75, 4 Tc 2.94
Tc 0.3454 0.3454 0.6907  4 Tc 2.75, 4 Cd 2.94


Record 6
# KCdTc

KCdTc after structural relaxation (PBEsol, Alexandria).

Values from the calculation:
The space group is F-43m, No. 216. As for the electronic total energy: -8.80 eV/cell. The value obtained for the formation enthalpy at 0 K is 1.60 eV per atom.

Unit cell a=4.8664 b=4.8664 c=4.8664 alpha=60.00 beta=60.00 gamma=60.00
With the nearest neighbours (Å) after each atom.
Element x y z (fractional)
Cd 0.0000 0.0000 0.0000  4 Tc 2.98
K 0.5000 0.5000 0.5000  4 Tc 2.98
Tc 0.2500 0.2500 0.2500  4 Cd 2.98, 4 K 2.98


Record 7
# KCdTc

KCdTc after structural relaxation (PBEsol, Alexandria).

Values from the calculation:
The space group is F-43m, No. 216. As for the electronic total energy: -7.43 eV/cell. The value obtained for the formation enthalpy at 0 K is 2.06 eV per atom.

Unit cell a=4.9972 b=4.9972 c=4.9972 alpha=60.00 beta=60.00 gamma=60.00
With the nearest neighbours (Å) after each atom.
Element x y z (fractional)
Cd 0.5000 0.5000 0.5000  4 K 3.06
K 0.2500 0.2500 0.2500  4 Cd 3.06, 4 Tc 3.06
Tc 0.0000 0.0000 0.0000  4 K 3.06


Record 8
# KCdTe2

KCdTe2 after structural relaxation (PBEsol, Alexandria).

Values from the calculation:
The space group is Pm, No. 6. As for the electronic total energy: -11.00 eV/cell. The calculation puts the uncorrected formation energy at -0.4050 eV per atom.

Unit cell a=3.1640 b=6.1385 c=6.1379 alpha=90.00 beta=90.05 gamma=90.00
With the nearest neighbours (Å) after each atom.
Element x y z (fractional)
Te 0.6807 0.5000 0.3739  2 Cd 3.08, 2 Te 3.16, 2 K 3.36
Te 0.8192 0.0000 0.8760  2 Cd 3.07-3.08, 2 Te 3.16, 2 K 3.36
Cd 0.7504 0.0000 0.3764  4 Te 3.07-3.08, 2 Cd 3.16
K 0.2497 0.5000 0.8737  2 K 3.16, 4 Te 3.36


Looking at magnetization for the records above, in order, we have 0.0; 0.0; 0.6; 1.8; 0.0; 2.8; 3.5; 0.0 μB per formula unit.